The following is a PBE calculation of crystalline Sc3Zn5 at its relaxed geometry, from Alexandria via LeMat-Bulk.

Cell: 7.4783 7.4783 7.4783 Å, 144.57 144.57 50.97°
With the nearest neighbours (Å) after each atom.
Atoms (fractional coordinates):
Sc 0.0000 0.0000 0.0000  8 Zn 2.78
Sc 0.2618 0.2618 0.0000  8 Zn 2.80-2.99
Sc 0.7382 0.7382 0.0000  8 Zn 2.80-2.99
Zn 0.1179 0.6179 0.5000  6 Sc 2.78-2.99, 2 Zn 2.78
Zn 0.3821 0.8821 0.5000  2 Zn 2.78, 6 Sc 2.78-2.99
Zn 0.5000 0.5000 0.0000  8 Zn 2.78
Zn 0.6179 0.1179 0.5000  6 Sc 2.78-2.99, 2 Zn 2.78
Zn 0.8821 0.3821 0.5000  2 Zn 2.78, 6 Sc 2.78-2.99

Output
The formation energy from the elements is -331 meV per atom. Its energy above the most stable polymorph in this dataset is 0 meV per atom. For the total magnetization, the calculation gives 0.0 μB/cell. The calculation puts the calculated volume at 17.47 A^3/atom. As for the space group: I4/mmm (139).